Compound: BaRuW2
Source: the Alexandria database
Functional: SCAN
Structure: PBEsol geometry

Values from the calculation:
* formation energy from the elements: 1.5631 eV per atom

Unit cell a=2.876 b=5.323 c=5.632 alpha=114.61 beta=98.71 gamma=102.71
Element x y z (fractional)
W 0.000 0.000 0.500
W 0.500 0.500 0.500
Ba 0.500 0.000 0.000
Ru 0.000 0.500 0.000